ScFeB2 after structural relaxation, computed with PBE-GGA.

extended XYZ file:
```
4
Lattice="0.000 2.708 2.708 2.708 0.000 2.708 2.708 2.708 0.000" Properties=species:S:1:pos:R:3 pbc="T T T"
B 1.354 1.354 1.354
B 4.062 4.062 4.062
Fe 2.708 2.708 2.708
Sc 0.000 0.000 0.000
```

Properties
Final energy   -6.966 eV/atom
Relative energy among the computed polymorphs   2.895 eV/f.u.

ScFe8B4 after structural relaxation, computed with PBE-GGA.

extended XYZ file:
```
13
Lattice="-2.795 -1.094 -3.118 -0.251 -5.744 -0.764 -5.343 -0.859 2.087" Properties=species:S:1:pos:R:3 pbc="T T T"
Fe -6.370 -5.926 -1.223
Fe -2.780 -5.206 -1.690
Fe -2.019 -1.770 -0.573
Fe -5.610 -2.491 -0.106
Fe -3.769 -3.010 -1.573
Fe -2.023 -4.044 0.228
Fe -3.571 -2.559 1.095
Fe -4.620 -4.686 -0.223
B -2.671 -0.430 1.043
B -0.126 -2.872 -0.382
B -4.069 -0.976 -0.516
B -1.523 -3.419 -1.941
Sc 0.000 0.000 0.000
```

Properties
Final energy   -7.899 eV/atom

ScFe12B4 after structural relaxation, computed with PBE-GGA.

extended XYZ file:
```
17
Lattice="6.266 0.000 0.000 -2.089 5.908 0.000 -2.089 -2.954 5.116" Properties=species:S:1:pos:R:3 pbc="T T T"
Fe -1.402 3.902 1.719
Fe 1.402 0.462 4.238
Fe 2.775 2.468 2.519
Fe 4.146 1.499 0.841
Fe 0.032 -1.476 4.238
Fe -0.687 0.486 2.597
Fe -2.057 1.455 4.275
Fe 0.687 2.492 0.878
Fe 2.057 4.430 0.878
Fe 3.491 -0.948 3.397
Fe -0.032 2.933 3.397
Fe 2.120 0.021 1.719
Sc 0.000 0.000 0.000
B -1.044 2.954 0.000
B 3.133 0.000 0.000
B -1.044 -1.477 2.558
B 1.044 1.477 2.558
```

Properties
Final energy   -7.906 eV/atom

Q: Look up the final energy of the third one.
A: -7.906 eV/atom